Entry from the Alexandria database: a relaxed Co2BiB2O7 crystal (PBE+U). Values from VASP.

Calculated values
- electronic total energy (eV per atom) = -6.757
- theoretical density (Mg/m³) = 4.2
- M_tot (μB per atom) = 0.5833
- crystal system = trigonal

```
&SYSTEM
  ibrav = 0, nat = 12, ntyp = 4
/
ATOMIC_SPECIES
O 16.00 O.upf
B 10.81 B.upf
Co 58.93 Co.upf
Bi 208.98 Bi.upf
CELL_PARAMETERS angstrom
5.006 0.000 0.000
2.503 4.335 0.000
2.503 1.445 8.319
ATOMIC_POSITIONS crystal
O 0.712 0.458 0.820
B 0.728 0.728 0.816
Co 0.572 0.572 0.283
O 0.010 0.712 0.820
Co 0.428 0.428 0.717
O 0.288 0.990 0.180
Bi 0.000 0.000 0.000
O 0.500 0.500 0.500
O 0.990 0.542 0.180
O 0.542 0.288 0.180
B 0.272 0.272 0.184
O 0.458 0.010 0.820
```